# PBEsol MgZn2Co, optimized geometry
data_MgZn2Co
_cell_length_a 9.295
_cell_length_b 3.157
_cell_length_c 4.101
_cell_angle_alpha 90.00
_cell_angle_beta 116.09
_cell_angle_gamma 90.00
_symmetry_space_group_name_H-M 'C 1 m 1'
_symmetry_Int_Tables_number 8
_symmetry_space_group_name_Hall 'C -2y'
loop_
_atom_site_label
_atom_site_type_symbol
_atom_site_fract_x
_atom_site_fract_y
_atom_site_fract_z
Mg1 Mg 0.000 0.000 0.000
Zn1 Zn 0.021 0.500 0.521
Zn2 Zn 0.270 0.500 0.269
Co1 Co 0.248 0.000 0.747
# Mass density (g/cm3): 6.6
# Energy of formation (eV/atom): 0.00